1.
First-principles (PBE) data for a relaxed structure of ScBI2N, as listed in the Alexandria database.

Its relative energy among the computed polymorphs is 0 meV/atom.

The structure belongs to space group P4/mmm (No. 123); the cell edges are 6.644, 6.644 and 2.814 Å and the angles 90.00°, 90.00° and 90.00°. Symmetry generates all atoms from Sc at (0.000, 0.000, 0.000), B at (0.500, 0.500, 0.500), I at (0.000, 0.500, 0.500) and N at (0.500, 0.500, 0.000).


2.
First-principles (PBE) data for a relaxed structure of ScBI2N, as listed in the Alexandria database.

Its relative energy among the computed polymorphs is 573 meV/atom.

The structure belongs to space group P4/mmm (No. 123); the cell edges are 5.871, 5.871 and 3.994 Å and the angles 90.00°, 90.00° and 90.00°. Symmetry generates all atoms from Sc at (0.000, 0.000, 0.000), B at (0.500, 0.500, 0.500), I at (0.000, 0.500, 0.000) and N at (0.000, 0.000, 0.500).


3.
First-principles (PBE) data for a relaxed structure of BSeI2N, as listed in the Alexandria database.

Its relative energy among the computed polymorphs is 1464 meV/atom.

The structure belongs to space group P4/mmm (No. 123); the cell edges are 5.982, 5.982 and 3.696 Å and the angles 90.00°, 90.00° and 90.00°. Symmetry generates all atoms from B at (0.000, 0.000, 0.000), Se at (0.500, 0.500, 0.500), I at (0.000, 0.500, 0.500) and N at (0.500, 0.500, 0.000).


4.
First-principles (PBE) data for a relaxed structure of BSeI2N, as listed in the Alexandria database.

Its relative energy among the computed polymorphs is 0 meV/atom.

The structure belongs to space group P4/mmm (No. 123); the cell edges are 8.441, 8.441 and 2.702 Å and the angles 90.00°, 90.00° and 90.00°. Symmetry generates all atoms from B at (0.000, 0.000, 0.000), Se at (0.500, 0.500, 0.500), I at (0.000, 0.500, 0.000) and N at (0.000, 0.000, 0.500).


5.
First-principles (PBE) data for a relaxed structure of SiBI2N, as listed in the Alexandria database.

Its relative energy among the computed polymorphs is 664 meV/atom.

The structure belongs to space group P4/mmm (No. 123); the cell edges are 5.836, 5.836 and 3.304 Å and the angles 90.00°, 90.00° and 90.00°. Symmetry generates all atoms from Si at (0.000, 0.000, 0.000), B at (0.500, 0.500, 0.500), I at (0.000, 0.500, 0.000) and N at (0.000, 0.000, 0.500).


6.
First-principles (PBE) data for a relaxed structure of SiB2IN, as listed in the Alexandria database.

The structure belongs to space group P4/mmm (No. 123); the cell edges are 4.466, 4.466 and 3.459 Å and the angles 90.00°, 90.00° and 90.00°. Symmetry generates all atoms from Si at (0.000, 0.000, 0.000), B at (0.000, 0.500, 0.000), I at (0.500, 0.500, 0.500) and N at (0.000, 0.000, 0.500).


7.
First-principles (PBE) data for a relaxed structure of SiBI2N, as listed in the Alexandria database.

Its relative energy among the computed polymorphs is 0 meV/atom.

The structure belongs to space group P4/mmm (No. 123); the cell edges are 6.566, 6.566 and 2.778 Å and the angles 90.00°, 90.00° and 90.00°. Symmetry generates all atoms from Si at (0.000, 0.000, 0.000), B at (0.500, 0.500, 0.500), I at (0.000, 0.500, 0.500) and N at (0.500, 0.500, 0.000).


8.
First-principles (PBE) data for a relaxed structure of SiBIN2, as listed in the Alexandria database.

Its relative energy among the computed polymorphs is 0 meV/atom.

The structure belongs to space group P4/mmm (No. 123); the cell edges are 3.432, 3.432 and 7.556 Å and the angles 90.00°, 90.00° and 90.00°. Symmetry generates all atoms from Si at (0.000, 0.000, 0.000), B at (0.500, 0.500, 0.500), I at (0.000, 0.000, 0.500) and N at (0.000, 0.500, 0.000).


9.
First-principles (PBE) data for a relaxed structure of SiBIN2, as listed in the Alexandria database.

Its relative energy among the computed polymorphs is 728 meV/atom.

The structure belongs to space group P4/mmm (No. 123); the cell edges are 3.512, 3.512 and 6.056 Å and the angles 90.00°, 90.00° and 90.00°. Symmetry generates all atoms from Si at (0.000, 0.000, 0.000), B at (0.500, 0.500, 0.500), I at (0.500, 0.500, 0.000) and N at (0.000, 0.500, 0.500).


10.
First-principles (PBE) data for a relaxed structure of SnBIN2, as listed in the Alexandria database.

Its relative energy among the computed polymorphs is 0 meV/atom.

The structure belongs to space group P4/mmm (No. 123); the cell edges are 4.013, 4.013 and 4.694 Å and the angles 90.00°, 90.00° and 90.00°. Symmetry generates all atoms from Sn at (0.000, 0.000, 0.000), B at (0.500, 0.500, 0.500), I at (0.500, 0.500, 0.000) and N at (0.000, 0.500, 0.500).


11.
First-principles (PBE) data for a relaxed structure of SnBI2N, as listed in the Alexandria database.

Its relative energy among the computed polymorphs is 1271 meV/atom.

The structure belongs to space group P4/mmm (No. 123); the cell edges are 6.077, 6.077 and 3.905 Å and the angles 90.00°, 90.00° and 90.00°. Symmetry generates all atoms from Sn at (0.000, 0.000, 0.000), B at (0.500, 0.500, 0.500), I at (0.000, 0.500, 0.000) and N at (0.000, 0.000, 0.500).


12.
First-principles (PBE) data for a relaxed structure of SnBIN2, as listed in the Alexandria database.

Its relative energy among the computed polymorphs is 75 meV/atom.

The structure belongs to space group P4/mmm (No. 123); the cell edges are 4.001, 4.001 and 7.158 Å and the angles 90.00°, 90.00° and 90.00°. Symmetry generates all atoms from Sn at (0.000, 0.000, 0.000), B at (0.500, 0.500, 0.500), I at (0.000, 0.000, 0.500) and N at (0.000, 0.500, 0.000).


| no. | formation energy without anion corrections (meV/atom) |
| --- | --- |
| 1 | 162.3 |
| 2 | 735.6 |
| 3 | 1601.1 |
| 4 | 137.4 |
| 5 | 1057.6 |
| 6 | 1358.1 |
| 7 | 393.5 |
| 8 | 1154.5 |
| 9 | 1882.7 |
| 10 | 1898.3 |
| 11 | 1404.5 |
| 12 | 1973.6 |